1.
SnSb2Ir2 | PBE | optimized geometry

Properties
spin magnetization	0.00	μB/f.u.
mass density	12.25	g/cm3
VASP energy	-58.73	eV for the cell shown
E_form (uncorrected)	0.121	eV per atom
symmetry	P4/mbm

Structure (extended XYZ):
```
10
Lattice="8.001 0.000 0.000 0.000 8.001 0.000 0.000 0.000 3.161" Properties=species:S:1:pos:R:3 pbc="T T T"
Sn 0.000 0.000 0.000
Sn 4.001 4.001 0.000
Sb 1.229 2.771 1.581
Sb 2.771 6.772 1.581
Sb 5.230 1.229 1.581
Sb 6.772 5.230 1.581
Ir 1.075 5.075 0.000
Ir 2.926 1.075 0.000
Ir 5.075 6.926 0.000
Ir 6.926 2.926 0.000
```

2.
CuSnAsBr2 | PBE | optimized geometry

Properties
distance to the lowest polymorph of the same formula	0.000	kcal/mol of atoms
spin magnetization	0.00	μB/f.u.
mass density	5.60	g/cm3
VASP energy	-15.37	eV for the cell shown
E_form (uncorrected)	0.145	eV per atom
symmetry	P4/mmm

Structure (extended XYZ):
```
5
Lattice="4.972 0.000 0.000 0.000 4.972 0.000 0.000 0.000 5.001" Properties=species:S:1:pos:R:3 pbc="T T T"
Cu 0.000 0.000 0.000
Sn 2.486 2.486 2.500
As 0.000 0.000 2.500
Br 0.000 2.486 0.000
Br 2.486 0.000 0.000
```

3.
Ir2WBr | PBE | optimized geometry

Properties
distance to the lowest polymorph of the same formula	15.084	kcal/mol of atoms
spin magnetization	0.00	μB/f.u.
mass density	16.83	g/cm3
VASP energy	-114.89	eV for the cell shown
E_form (uncorrected)	0.906	eV per atom
symmetry	F-43m

Structure (extended XYZ):
```
16
Lattice="6.347 0.000 0.000 0.000 6.347 0.000 0.000 0.000 6.347" Properties=species:S:1:pos:R:3 pbc="T T T"
Ir 0.000 0.000 0.000
Ir 0.000 3.174 3.174
Ir 1.587 1.587 1.587
Ir 1.587 4.761 4.761
Ir 3.174 0.000 3.174
Ir 3.174 3.174 0.000
Ir 4.761 1.587 4.761
Ir 4.761 4.761 1.587
W 1.587 1.587 4.761
W 1.587 4.761 1.587
W 4.761 1.587 1.587
W 4.761 4.761 4.761
Br 0.000 0.000 3.174
Br 0.000 3.174 0.000
Br 3.174 0.000 0.000
Br 3.174 3.174 3.174
```

4.
Cs3O4F | PBE | optimized geometry

Properties
spin magnetization	2.00	μB/f.u.
mass density	3.92	g/cm3
VASP energy	-69.25	eV for the cell shown
E_form (uncorrected)	-1.295	eV per atom
symmetry	C2/m

Structure (extended XYZ):
```
16
Lattice="21.467 0.000 0.000 0.000 4.478 0.000 -0.693 0.000 4.248" Properties=species:S:1:pos:R:3 pbc="T T T"
Cs 0.000 0.000 0.000
Cs 2.959 2.239 2.789
Cs 7.081 0.000 1.459
Cs 10.734 2.239 0.000
Cs 13.693 0.000 2.789
Cs 17.815 2.239 1.459
O 2.891 0.000 0.591
O 4.220 0.000 0.825
O 5.820 2.239 3.423
O 7.150 2.239 3.656
O 13.624 2.239 0.591
O 14.954 2.239 0.825
O 16.554 0.000 3.423
O 17.883 0.000 3.656
F -0.347 2.239 2.124
F 10.387 0.000 2.124
```

5.
LiZrZn2As | PBE | optimized geometry

Properties
spin magnetization	1.34	μB/f.u.
mass density	3.67	g/cm3
VASP energy	-12.00	eV for the cell shown
symmetry	P4/mmm
DFT formation energy	1132	meV/atom

Structure (extended XYZ):
```
5
Lattice="5.134 0.000 0.000 0.000 5.134 0.000 0.000 0.000 5.221" Properties=species:S:1:pos:R:3 pbc="T T T"
Li 0.000 0.000 0.000
Zr 0.000 0.000 2.610
Zn 0.000 2.567 2.610
Zn 2.567 0.000 2.610
As 2.567 2.567 0.000
```

6.
Pm5PaSe6 | PBE | optimized geometry

Properties
spin magnetization	0.00	μB/f.u.
mass density	7.71	g/cm3
VASP energy	-74.75	eV for the cell shown
E_form (uncorrected)	-1.716	eV per atom
symmetry	C2/m

Structure (extended XYZ):
```
12
Lattice="3.618 -6.245 0.000 3.618 6.245 0.000 -2.399 0.000 6.817" Properties=species:S:1:pos:R:3 pbc="T T T"
Pm 0.000 0.000 0.000
Pm 2.419 4.175 3.409
Pm 3.618 2.188 0.000
Pm 3.618 -2.188 0.000
Pm 2.419 -4.175 3.409
Pa 2.419 0.000 3.409
Se 1.238 2.035 1.744
Se 0.070 0.000 5.131
Se 1.238 -2.035 1.744
Se 3.600 2.035 5.073
Se 4.767 0.000 1.687
Se 3.600 -2.035 5.073
```